Record 1
VASP calculation (GGA-PBE) on an optimized crystal structure of Pm2PO.

Computed properties:
* formation energy (no corrections): -2.08 eV per atom
* excess energy over the best structure of this formula in the dataset: 16.4 meV/atom
* space group: C2/c

Unit cell a=6.605 b=6.630 c=8.692 alpha=105.01 beta=104.90 gamma=108.80
Atoms (fractional coordinates):
Pm 0.783 0.556 0.624
Pm 0.450 0.676 0.873
Pm 0.923 0.198 0.873
Pm 0.550 0.324 0.127
Pm 0.659 0.932 0.376
Pm 0.341 0.068 0.624
Pm 0.077 0.802 0.127
Pm 0.217 0.444 0.376
P 0.816 0.066 0.132
P 0.941 0.691 0.382
P 0.184 0.934 0.868
P 0.059 0.309 0.618
O 0.569 0.819 0.638
O 0.431 0.181 0.362
O 0.308 0.558 0.116
O 0.692 0.442 0.884

Record 2
VASP calculation (GGA-PBE) on an optimized crystal structure of Pm2PO.

Computed properties:
* formation energy (no corrections): -2.09 eV per atom
* excess energy over the best structure of this formula in the dataset: 0.0 meV/atom
* space group: R-3m

Unit cell a=3.863 b=3.863 c=6.595 alpha=72.97 beta=72.97 gamma=60.00
Atoms (fractional coordinates):
Pm 0.758 0.758 0.725
Pm 0.242 0.242 0.275
O 0.500 0.500 0.500
P 0.000 0.000 0.000

Record 3
VASP calculation (GGA-PBE) on an optimized crystal structure of PmP3O9.

Computed properties:
* formation energy (no corrections): -2.51 eV per atom
* space group: C222_1

Unit cell a=7.087 b=7.087 c=7.365 alpha=90.00 beta=90.00 gamma=105.41
Atoms (fractional coordinates):
O 0.971 0.717 0.964
O 0.717 0.971 0.036
O 0.286 0.673 0.466
O 0.366 0.329 0.169
O 0.673 0.286 0.534
O 0.248 0.029 0.957
O 0.283 0.029 0.536
O 0.327 0.714 0.034
O 0.671 0.634 0.331
O 0.752 0.971 0.457
O 0.872 0.128 0.750
O 0.634 0.671 0.669
O 0.714 0.327 0.966
O 0.971 0.752 0.543
O 0.029 0.283 0.464
O 0.128 0.872 0.250
O 0.029 0.248 0.043
O 0.329 0.366 0.831
P 0.249 0.249 0.000
P 0.751 0.751 0.500
P 0.166 0.813 0.045
P 0.834 0.187 0.545
P 0.813 0.166 0.955
P 0.187 0.834 0.455
Pm 0.375 0.375 0.500
Pm 0.625 0.625 0.000

Record 4
VASP calculation (GGA-PBE) on an optimized crystal structure of PmP2O6.

Computed properties:
* formation energy (no corrections): -2.33 eV per atom
* space group: C2/c

Unit cell a=5.981 b=7.085 c=7.085 alpha=85.70 beta=74.49 gamma=74.49
Each line ends with the local moment (μB).
Atoms (fractional coordinates):
O 0.012 0.637 0.667  0.03
O 0.488 0.333 0.363  0.03
O 0.141 0.813 0.917  0.01
O 0.293 0.440 0.868  0.01
O 0.793 0.868 0.440  0.01
O 0.988 0.363 0.333  0.03
O 0.359 0.083 0.187  0.01
O 0.641 0.917 0.813  0.01
O 0.207 0.132 0.560  0.01
O 0.859 0.187 0.083  0.01
O 0.707 0.560 0.132  0.01
O 0.512 0.667 0.637  0.03
Pm 0.250 0.132 0.868  0.01
Pm 0.750 0.868 0.132  0.01
P 0.247 0.235 0.360  0.09
P 0.253 0.640 0.765  0.09
P 0.747 0.360 0.235  0.09
P 0.753 0.765 0.640  0.09

Record 5
VASP calculation (GGA-PBE) on an optimized crystal structure of PmPrP2O8.

Computed properties:
* formation energy (no corrections): -2.87 eV per atom
* space group: P-3

Unit cell a=5.318 b=5.318 c=7.350 alpha=90.00 beta=90.00 gamma=120.00
Atoms (fractional coordinates):
O 0.667 0.333 0.991
O 0.650 0.824 0.728
O 0.824 0.173 0.272
O 0.173 0.350 0.728
O 0.350 0.176 0.272
O 0.333 0.667 0.009
O 0.176 0.827 0.728
O 0.827 0.650 0.272
P 0.333 0.667 0.801
P 0.667 0.333 0.199
Pm 0.000 0.000 0.500
Pr 0.000 0.000 0.000

Record 6
VASP calculation (GGA-PBE) on an optimized crystal structure of PmP2PtO8.

Computed properties:
* formation energy (no corrections): -2.00 eV per atom
* space group: P-3m1

Unit cell a=5.156 b=5.156 c=7.004 alpha=90.00 beta=90.00 gamma=120.00
Each line ends with the local moment (μB).
Atoms (fractional coordinates):
O 0.334 0.167 0.215  0.03
O 0.333 0.667 0.503  0.02
O 0.833 0.666 0.215  0.03
O 0.167 0.833 0.785  0.03
O 0.833 0.167 0.215  0.03
O 0.167 0.334 0.785  0.03
O 0.667 0.333 0.497  0.02
O 0.666 0.833 0.785  0.03
P 0.333 0.667 0.722  0.01
P 0.667 0.333 0.278  0.01
Pt 0.000 0.000 0.000  0.69
Pm 0.000 0.000 0.500  0.00

Record 7
VASP calculation (GGA-PBE) on an optimized crystal structure of PmPuP2O8.

Computed properties:
* formation energy (no corrections): -2.73 eV per atom
* space group: P-3m1

Unit cell a=5.318 b=5.318 c=7.261 alpha=90.00 beta=90.00 gamma=120.00
Each line ends with the local moment (μB).
Atoms (fractional coordinates):
O 0.650 0.825 0.731  -0.01
O 0.667 0.333 0.984  -0.01
O 0.825 0.174 0.269  -0.01
O 0.826 0.650 0.269  -0.01
O 0.350 0.175 0.269  -0.01
O 0.174 0.350 0.731  -0.01
O 0.333 0.667 0.016  -0.01
O 0.175 0.826 0.731  -0.01
P 0.333 0.667 0.806  0.00
P 0.667 0.333 0.194  0.00
Pm 0.000 0.000 0.500  0.01
Pu 0.000 0.000 0.000  5.04

Record 8
VASP calculation (GGA-PBE) on an optimized crystal structure of RbPmP2O8.

Computed properties:
* formation energy (no corrections): -2.27 eV per atom
* space group: P-3

Unit cell a=5.695 b=5.695 c=8.251 alpha=90.00 beta=90.00 gamma=120.00
Each line ends with the local moment (μB).
Atoms (fractional coordinates):
P 0.333 0.667 0.734  -0.02
P 0.667 0.333 0.266  -0.02
O 0.813 0.183 0.326  0.16
O 0.667 0.333 0.078  0.38
O 0.817 0.629 0.326  0.16
O 0.333 0.667 0.922  0.38
O 0.187 0.817 0.674  0.16
O 0.183 0.371 0.674  0.16
O 0.629 0.813 0.674  0.16
O 0.371 0.187 0.326  0.16
Rb 0.000 0.000 0.000  0.00
Pm 0.000 0.000 0.500  -0.01

Record 9
VASP calculation (GGA-PBE) on an optimized crystal structure of Rb2PmP2O6.

Computed properties:
* formation energy (no corrections): -2.29 eV per atom
* space group: C2/m

Unit cell a=5.905 b=5.853 c=6.855 alpha=110.50 beta=90.00 gamma=120.29
Each line ends with the local moment (μB).
Atoms (fractional coordinates):
O 0.229 0.023 0.263  0.02
O 0.247 0.494 0.340  0.09
O 0.753 0.506 0.660  0.09
O 0.794 0.023 0.263  0.02
O 0.771 0.977 0.737  0.02
O 0.206 0.977 0.737  0.02
Rb 0.728 0.456 0.172  0.01
Rb 0.272 0.544 0.828  0.01
P 0.076 0.152 0.198  0.15
P 0.924 0.848 0.802  0.15
Pm 0.500 0.000 0.500  0.04

Record 10
VASP calculation (GGA-PBE) on an optimized crystal structure of Rb2PmPO6.

Computed properties:
* formation energy (no corrections): -1.84 eV per atom
* space group: P-3m1

Unit cell a=5.801 b=6.463 c=6.463 alpha=120.00 beta=90.00 gamma=90.00
Each line ends with the local moment (μB).
Atoms (fractional coordinates):
Rb 0.105 0.333 0.667  0.00
Rb 0.895 0.667 0.333  0.00
O 0.174 0.249 0.125  0.30
O 0.174 0.875 0.751  0.30
O 0.174 0.875 0.125  0.30
O 0.826 0.125 0.249  0.30
O 0.826 0.125 0.875  0.30
O 0.826 0.751 0.875  0.30
P 0.000 0.000 0.000  -0.02
Pm 0.500 0.000 0.000  -0.03

Record 11
VASP calculation (GGA-PBE) on an optimized crystal structure of PmP2RhO8.

Computed properties:
* formation energy (no corrections): -2.15 eV per atom
* space group: P-3m1

Unit cell a=5.129 b=5.129 c=6.831 alpha=90.00 beta=90.00 gamma=120.00
Atoms (fractional coordinates):
O 0.166 0.332 0.794
O 0.332 0.166 0.206
O 0.333 0.667 0.506
O 0.834 0.166 0.206
O 0.667 0.333 0.494
O 0.668 0.834 0.794
O 0.834 0.668 0.206
O 0.166 0.834 0.794
P 0.333 0.667 0.731
P 0.667 0.333 0.269
Rh 0.000 0.000 0.000
Pm 0.000 0.000 0.500

Record 12
VASP calculation (GGA-PBE) on an optimized crystal structure of PmP2RuO8.

Computed properties:
* formation energy (no corrections): -2.16 eV per atom
* space group: P-3m1

Unit cell a=5.147 b=5.147 c=6.793 alpha=90.00 beta=90.00 gamma=120.00
Each line ends with the local moment (μB).
Atoms (fractional coordinates):
O 0.665 0.833 0.795  0.03
O 0.667 0.333 0.498  0.00
O 0.833 0.665 0.205  0.03
O 0.167 0.335 0.795  0.03
O 0.335 0.167 0.205  0.03
O 0.167 0.833 0.795  0.03
O 0.333 0.667 0.502  0.00
O 0.833 0.167 0.205  0.03
Ru 0.000 0.000 0.000  0.78
P 0.333 0.667 0.728  0.00
P 0.667 0.333 0.272  0.00
Pm 0.000 0.000 0.500  0.01

Record 13
VASP calculation (GGA-PBE) on an optimized crystal structure of Pm6P3S2O.

Computed properties:
* formation energy (no corrections): -1.90 eV per atom
* space group: C2/m

Unit cell a=4.028 b=8.023 c=8.947 alpha=102.57 beta=103.01 gamma=90.00
Atoms (fractional coordinates):
S 0.835 0.668 0.670
S 0.165 0.332 0.330
P 0.500 0.500 0.000
P 0.831 0.163 0.661
P 0.169 0.837 0.339
Pm 0.997 0.237 0.995
Pm 0.658 0.075 0.315
Pm 0.335 0.412 0.669
Pm 0.665 0.588 0.331
Pm 0.342 0.925 0.685
Pm 0.003 0.763 0.005
O 0.500 0.000 0.000

Record 14
VASP calculation (GGA-PBE) on an optimized crystal structure of Pm8P3S4O.

Computed properties:
* formation energy (no corrections): -1.94 eV per atom
* space group: R-3m

Unit cell a=8.014 b=8.078 c=8.014 alpha=119.74 beta=120.00 gamma=90.00
Atoms (fractional coordinates):
Pm 0.756 0.734 0.995
Pm 0.252 0.256 0.504
Pm 0.748 0.744 0.496
Pm 0.239 0.734 0.478
Pm 0.244 0.266 0.005
Pm 0.761 0.266 0.005
Pm 0.239 0.734 0.995
Pm 0.761 0.266 0.522
S 0.500 0.000 0.000
S 0.500 0.000 0.500
S 0.000 0.000 0.000
S 0.000 0.000 0.500
P 0.500 0.500 0.500
P 0.500 0.500 0.000
P 0.000 0.500 0.500
O 0.000 0.500 0.000

Record 15
VASP calculation (GGA-PBE) on an optimized crystal structure of Pm4PSO2.

Computed properties:
* formation energy (no corrections): -2.22 eV per atom
* space group: P2/m

Unit cell a=3.801 b=6.631 c=6.602 alpha=70.67 beta=90.00 gamma=90.00
Atoms (fractional coordinates):
O 0.000 0.000 0.000
O 0.500 0.000 0.500
S 0.000 0.500 0.500
Pm 0.000 0.781 0.742
Pm 0.500 0.217 0.765
Pm 0.500 0.783 0.235
Pm 0.000 0.219 0.258
P 0.500 0.500 0.000

Record 16
VASP calculation (GGA-PBE) on an optimized crystal structure of Pm8P3S3O.

Computed properties:
* formation energy (no corrections): -1.78 eV per atom
* space group: R-3m

Unit cell a=8.075 b=8.075 c=8.020 alpha=120.23 beta=90.00 gamma=120.00
Atoms (fractional coordinates):
O 0.000 0.000 0.500
Pm 0.234 0.003 0.737
Pm 0.752 0.504 0.755
Pm 0.766 0.997 0.263
Pm 0.234 0.467 0.737
Pm 0.766 0.533 0.263
Pm 0.769 0.003 0.737
Pm 0.248 0.496 0.245
Pm 0.231 0.997 0.263
S 0.500 0.500 0.500
S 0.000 0.500 0.500
S 0.500 0.000 0.500
P 0.000 0.000 0.000
P 0.500 0.500 0.000
P 0.000 0.500 0.000

Record 17
VASP calculation (GGA-PBE) on an optimized crystal structure of Pm3SbPO.

Computed properties:
* formation energy (no corrections): -1.85 eV per atom
* space group: P2_1/m

Unit cell a=4.172 b=8.731 c=9.080 alpha=101.96 beta=90.00 gamma=90.00
Atoms (fractional coordinates):
Pm 0.250 0.574 0.842
Pm 0.750 0.886 0.149
Pm 0.750 0.426 0.158
Pm 0.250 0.114 0.851
Pm 0.750 0.172 0.520
Pm 0.250 0.828 0.480
O 0.250 0.090 0.590
O 0.750 0.910 0.410
P 0.750 0.343 0.839
P 0.250 0.657 0.161
Sb 0.250 0.176 0.224
Sb 0.750 0.824 0.776

Record 18
VASP calculation (GGA-PBE) on an optimized crystal structure of PmScP2O8.

Computed properties:
* formation energy (no corrections): -2.87 eV per atom
* space group: P-3m1

Unit cell a=5.190 b=5.190 c=6.830 alpha=90.00 beta=90.00 gamma=120.00
Atoms (fractional coordinates):
O 0.171 0.830 0.707
O 0.830 0.659 0.293
O 0.333 0.667 0.007
O 0.170 0.341 0.707
O 0.667 0.333 0.993
O 0.659 0.829 0.707
O 0.341 0.171 0.293
O 0.829 0.170 0.293
Pm 0.000 0.000 0.000
P 0.333 0.667 0.783
P 0.667 0.333 0.217
Sc 0.000 0.000 0.500

Record 19
VASP calculation (GGA-PBE) on an optimized crystal structure of Pm4PSe2O.

Computed properties:
* formation energy (no corrections): -1.95 eV per atom
* space group: P2/m

Unit cell a=3.990 b=6.857 c=7.178 alpha=108.78 beta=90.00 gamma=90.00
Atoms (fractional coordinates):
Pm 0.000 0.244 0.784
Pm 0.000 0.756 0.216
Pm 0.500 0.775 0.789
Pm 0.500 0.225 0.211
Se 0.500 0.000 0.500
Se 0.000 0.500 0.500
P 0.500 0.500 0.000
O 0.000 0.000 0.000

Record 20
VASP calculation (GGA-PBE) on an optimized crystal structure of Pm2SmPO8.

Computed properties:
* formation energy (no corrections): -2.42 eV per atom
* space group: P-3m1

Unit cell a=5.189 b=5.189 c=6.388 alpha=90.00 beta=90.00 gamma=120.00
Each line ends with the local moment (μB).
Atoms (fractional coordinates):
O 0.846 0.693 0.842  0.09
O 0.154 0.307 0.158  0.09
O 0.667 0.333 0.471  0.57
O 0.333 0.667 0.529  0.57
O 0.307 0.154 0.842  0.09
O 0.154 0.846 0.158  0.09
O 0.846 0.154 0.842  0.09
O 0.693 0.846 0.158  0.09
P 0.000 0.000 0.000  0.00
Pm 0.667 0.333 0.136  0.05
Pm 0.333 0.667 0.864  0.05
Sm 0.000 0.000 0.500  -0.02